Material: KLiHoCl5
Method: DFT, PBE-GGA
State: relaxed

Output
As for the calculated total energy: -4.210 eV/atom. The crystal system is monoclinic. The density of states at the Fermi level is 0.000 states/eV/atom. Its uncorrected formation energy is -2.11 eV/atom.

a = 7.4400 Å, b = 7.4400 Å, c = 9.9610 Å
α = 103.71°, β = 103.71°, γ = 107.41°
With the nearest neighbours (Å) after each atom.
Fractional positions:
K 0.1541 0.8459 0.7500  5 Cl 3.20-3.21
K 0.8459 0.1541 0.2500  5 Cl 3.20-3.21
Li 0.1897 0.8103 0.2500  4 Cl 2.39-2.41
Li 0.8103 0.1897 0.7500  4 Cl 2.39-2.41
Ho 0.5000 0.5000 0.0000  6 Cl 2.62-2.66
Ho 0.5000 0.5000 0.5000  6 Cl 2.62-2.66
Cl 0.1282 0.2548 0.9245  1 Li 2.41, 1 Ho 2.62
Cl 0.1933 0.5896 0.3896  1 Li 2.39, 1 Ho 2.63
Cl 0.2548 0.1282 0.4245  1 Li 2.41, 1 Ho 2.62
Cl 0.4104 0.8067 0.1104  1 Li 2.39, 1 Ho 2.63
Cl 0.4210 0.5790 0.7500  2 Ho 2.66
Cl 0.5790 0.4210 0.2500  2 Ho 2.66
Cl 0.5896 0.1933 0.8896  1 Li 2.39, 1 Ho 2.63
Cl 0.7452 0.8718 0.5755  1 Li 2.41, 1 Ho 2.62
Cl 0.8067 0.4104 0.6104  1 Li 2.39, 1 Ho 2.63
Cl 0.8718 0.7452 0.0755  1 Li 2.41, 1 Ho 2.62